No. 1
4
Lattice="-1.890 2.187 3.207 1.890 -2.187 3.207 1.890 2.187 -3.207" Properties=species:S:1:pos:R:3 comment="ZrBeNi2 GGA-PBE relaxed" e_form_ev_per_atom=-0.299 dos_at_fermi_per_ev_fu=2.15 sg="No. 71" e_above_lowest_polymorph_ev_per_atom=0.142 pbc="T T T"
Zr 0.000 0.000 0.000
Be 0.000 0.000 3.207
Ni 1.890 0.000 1.818
Ni 0.000 2.187 1.389

=====

No. 2
14
Lattice="8.748 0.000 0.000 0.000 8.748 0.000 0.000 0.000 3.947" Properties=species:S:1:pos:R:3 comment="LaCd4Rh2 GGA-PBE relaxed" e_form_ev_per_atom=-0.357 dos_at_fermi_per_ev_fu=4.04 sg="No. 136" pbc="T T T"
La 0.000 0.000 0.000
La 4.374 4.374 1.973
Cd 0.892 2.982 1.973
Cd 1.392 5.266 0.000
Cd 2.982 0.892 1.973
Cd 3.482 7.356 0.000
Cd 5.266 1.392 0.000
Cd 5.766 7.855 1.973
Cd 7.356 3.482 0.000
Cd 7.855 5.766 1.973
Rh 1.471 7.277 1.973
Rh 2.903 2.903 0.000
Rh 5.845 5.845 0.000
Rh 7.277 1.471 1.973

=====

No. 3
4
Lattice="3.110 -4.537 0.000 3.110 4.537 0.000 0.000 0.000 3.152" Properties=species:S:1:pos:R:3 comment="BaZn2Fe GGA-PBE relaxed" e_form_ev_per_atom=0.625 dos_at_fermi_per_ev_fu=3.64 sg="No. 65" pbc="T T T"
Ba 0.000 0.000 0.000
Zn 1.555 2.268 1.576
Zn 1.555 -2.268 1.576
Fe 3.110 0.000 0.000

=====

No. 4
5
Lattice="4.473 0.000 0.000 0.000 4.473 0.000 0.000 0.000 4.990" Properties=species:S:1:pos:R:3 comment="FeCoAuSe2 GGA-PBE relaxed" dos_at_fermi_per_ev_fu=9.05 sg="No. 123" formation_energy_uncorrected_ev_per_atom=0.8331 pbc="T T T"
Fe 0.000 0.000 0.000
Co 2.236 2.236 2.495
Au 0.000 0.000 2.495
Se 0.000 2.236 0.000
Se 2.236 0.000 0.000

=====

No. 5
5
Lattice="4.948 0.000 0.000 0.000 4.948 0.000 0.000 0.000 4.948" Properties=species:S:1:pos:R:3 comment="Sc3VTe GGA-PBE relaxed" dos_at_fermi_per_ev_fu=7.17 sg="No. 221" e_above_lowest_polymorph_ev_per_atom=0.000 formation_energy_uncorrected_ev_per_atom=0.2675 pbc="T T T"
Sc 0.000 0.000 2.474
Sc 0.000 2.474 0.000
Sc 2.474 0.000 0.000
V 0.000 0.000 0.000
Te 2.474 2.474 2.474

=====

No. 6
4
Lattice="0.000 3.670 3.670 3.670 0.000 3.670 3.670 3.670 0.000" Properties=species:S:1:pos:R:3 comment="TbErAgHg GGA-PBE relaxed" e_form_ev_per_atom=-0.403 dos_at_fermi_per_ev_fu=4.04 sg="No. 216" pbc="T T T"
Tb 0.000 0.000 0.000
Er 3.670 3.670 3.670
Ag 5.506 5.506 5.506
Hg 1.835 1.835 1.835

=====

No. 7
4
Lattice="0.000 3.739 3.739 3.739 0.000 3.739 3.739 3.739 0.000" Properties=species:S:1:pos:R:3 comment="NdTmAlSn GGA-PBE relaxed" e_form_ev_per_atom=-0.419 dos_at_fermi_per_ev_fu=3.04 sg="No. 216" pbc="T T T"
Nd 0.000 0.000 0.000
Tm 3.739 3.739 3.739
Al 1.869 1.869 1.869
Sn 5.608 5.608 5.608

=====

No. 8
2
Lattice="3.861 0.000 0.000 0.000 3.861 0.000 0.000 0.000 3.861" Properties=species:S:1:pos:R:3 comment="ThSb GGA-PBE relaxed" dos_at_fermi_per_ev_fu=1.55 sg="No. 221" formation_energy_uncorrected_ev_per_atom=-0.8176 pbc="T T T"
Th 0.000 0.000 0.000
Sb 1.930 1.930 1.930

=====

No. 9
6
Lattice="2.629 -2.615 0.000 2.629 2.615 0.000 -1.274 0.000 6.533" Properties=species:S:1:pos:R:3 comment="ZnMoRu GGA-PBE relaxed" e_form_ev_per_atom=0.165 dos_at_fermi_per_ev_fu=2.84 sg="No. 12" e_above_lowest_polymorph_ev_per_atom=0.180 pbc="T T T"
Zn 0.653 0.000 1.129
Zn 3.331 0.000 5.403
Mo 1.992 1.304 3.266
Mo 1.992 -1.304 3.266
Ru 0.707 0.000 5.352
Ru 3.276 0.000 1.181

=====

No. 10
4
Lattice="2.562 -4.487 0.000 2.562 4.487 0.000 -0.518 0.000 2.491" Properties=species:S:1:pos:R:3 comment="LiCuMo2 GGA-PBE relaxed" e_form_ev_per_atom=0.302 dos_at_fermi_per_ev_fu=3.23 sg="No. 12" e_above_lowest_polymorph_ev_per_atom=0.127 pbc="T T T"
Li 0.000 0.000 0.000
Cu 2.562 0.000 0.000
Mo 1.022 2.243 1.246
Mo 1.022 -2.243 1.246

=====

No. 11
4
Lattice="0.000 3.116 3.116 3.116 0.000 3.116 3.116 3.116 0.000" Properties=species:S:1:pos:R:3 comment="UMnCrGa GGA-PBE relaxed" e_form_ev_per_atom=0.062 dos_at_fermi_per_ev_fu=4.03 sg="No. 216" pbc="T T T"
U 0.000 0.000 0.000
Mn 4.674 4.674 4.674
Cr 1.558 1.558 1.558
Ga 3.116 3.116 3.116

=====

No. 12
3
Lattice="-1.442 1.987 3.745 1.442 -1.987 3.745 1.442 1.987 -3.745" Properties=species:S:1:pos:R:3 comment="RePIr GGA-PBE relaxed" e_form_ev_per_atom=0.276 dos_at_fermi_per_ev_fu=2.33 sg="No. 44" e_above_lowest_polymorph_ev_per_atom=0.326 pbc="T T T"
Re 0.000 0.000 0.000
P 0.000 0.000 5.060
Ir 0.000 0.000 2.643

=====

No. 13
14
Lattice="8.725 -1.686 0.000 8.725 1.686 0.000 -2.071 0.000 8.510" Properties=species:S:1:pos:R:3 comment="TlV2Cr3S8 GGA-PBE relaxed" dos_at_fermi_per_ev_fu=4.87 sg="No. 8" formation_energy_uncorrected_ev_per_atom=-0.7661 pbc="T T T"
Tl 0.000 0.000 0.000
V 7.383 0.000 4.194
V 13.733 0.000 4.326
Cr 1.600 0.000 4.005
Cr 1.714 0.000 7.024
Cr 13.399 0.000 1.377
S -0.206 0.000 5.521
S 3.764 0.000 2.923
S 5.596 0.000 0.024
S 5.675 0.000 5.800
S 9.398 0.000 2.732
S 9.505 0.000 8.365
S 11.452 0.000 5.478
S 15.365 0.000 2.720

=====

No. 14
9
Lattice="-5.908 5.908 2.788 5.908 -5.908 2.788 5.908 5.908 -2.788" Properties=species:S:1:pos:R:3 comment="Ac8Tm GGA-PBE relaxed" e_form_ev_per_atom=0.035 dos_at_fermi_per_ev_fu=15.82 sg="No. 139" pbc="T T T"
Ac 3.895 0.000 0.000
Ac 7.921 0.000 0.000
Ac 0.000 3.895 0.000
Ac 3.972 3.972 0.000
Ac 1.936 -1.936 2.788
Ac -1.936 1.936 2.788
Ac 1.936 1.936 2.788
Ac 0.000 7.921 0.000
Tm 0.000 0.000 0.000

=====

No. 15
10
Lattice="3.209 -6.217 0.000 3.209 6.217 0.000 0.000 0.000 4.060" Properties=species:S:1:pos:R:3 comment="RbPd2F7 GGA-PBE relaxed" dos_at_fermi_per_ev_fu=4.79 sg="No. 65" formation_energy_uncorrected_ev_per_atom=-1.5522 pbc="T T T"
Rb 0.000 0.000 0.000
Pd 3.209 2.062 2.030
Pd 3.209 -2.062 2.030
F 1.251 1.891 2.030
F 3.209 2.247 0.000
F 1.251 -1.891 2.030
F 3.209 0.000 2.030
F 5.168 1.891 2.030
F 3.209 -2.247 0.000
F 5.168 -1.891 2.030

=====

No. 16
3
Lattice="-1.834 1.834 6.103 1.834 -1.834 6.103 1.834 1.834 -6.103" Properties=species:S:1:pos:R:3 comment="LuInPb GGA-PBE relaxed" e_form_ev_per_atom=-0.150 dos_at_fermi_per_ev_fu=2.38 sg="No. 107" e_above_lowest_polymorph_ev_per_atom=0.013 pbc="T T T"
Lu 0.000 0.000 0.000
In 0.000 0.000 8.001
Pb 0.000 0.000 3.982

=====

No. 17
20
Lattice="7.339 4.237 3.388 -7.339 4.237 3.388 0.000 -8.474 3.388" Properties=species:S:1:pos:R:3 comment="RbLi4Pu3Cl12 GGA-PBE relaxed" dos_at_fermi_per_ev_fu=43.88 sg="No. 155" formation_energy_uncorrected_ev_per_atom=-1.8180 pbc="T T T"
Rb 0.000 0.000 0.000
Li -3.193 -5.531 5.083
Li 0.000 0.000 5.083
Li -3.193 5.531 5.083
Li 6.387 0.000 5.083
Pu -4.105 -1.364 3.388
Pu -4.105 1.364 6.777
Pu 0.871 4.237 3.388
Cl -4.497 -3.639 4.927
Cl -5.941 0.000 5.083
Cl -0.903 -5.714 5.238
Cl -2.301 0.000 5.083
Cl -4.497 3.639 5.238
Cl 2.971 -5.145 5.083
Cl 1.150 -1.992 5.083
Cl -0.903 5.714 4.927
Cl 1.150 1.992 5.083
Cl 5.400 -2.075 4.927
Cl 2.971 5.145 5.083
Cl 5.400 2.075 5.238

=====

No. 18
3
Lattice="-2.064 2.064 4.315 2.064 -2.064 4.315 2.064 2.064 -4.315" Properties=species:S:1:pos:R:3 comment="EuAsAu GGA-PBE relaxed" e_form_ev_per_atom=-0.556 dos_at_fermi_per_ev_fu=3.54 sg="No. 107" pbc="T T T"
Eu 0.000 0.000 0.000
As 0.000 0.000 5.632
Au 0.000 0.000 3.006

=====

No. 19
4
Lattice="1.361 0.786 8.715 -1.361 0.786 8.715 0.000 -1.572 8.715" Properties=species:S:1:pos:R:3 comment="CaCo2Ni GGA-PBE relaxed" e_form_ev_per_atom=0.679 dos_at_fermi_per_ev_fu=5.36 sg="No. 166" pbc="T T T"
Ca 0.000 0.000 0.000
Co 0.000 0.000 6.270
Co 0.000 0.000 19.875
Ni 0.000 0.000 13.072

=====

No. 20
4
Lattice="2.039 1.177 7.063 -2.039 1.177 7.063 0.000 -2.354 7.063" Properties=species:S:1:pos:R:3 comment="Sm2ZnCl GGA-PBE relaxed" dos_at_fermi_per_ev_fu=3.39 sg="No. 166" e_above_lowest_polymorph_ev_per_atom=0.000 formation_energy_uncorrected_ev_per_atom=-0.8138 pbc="T T T"
Sm 0.000 0.000 5.306
Sm 0.000 0.000 15.881
Zn 0.000 0.000 10.594
Cl 0.000 0.000 0.000